Entry from the Alexandria database: a relaxed structure of LiFe2Ni3 (PBE).

Lattice parameters (Å, degrees): 4.9259 4.9259 3.9056 90.00 90.00 120.00
Closest atoms and distances in Å follow each position.
Space group P6/mmm (No. 191)
Symmetry-distinct sites (fractional):
Li 0.0000 0.0000 0.0000 x1  6 Ni 2.46
Fe 0.3333 0.6667 0.5000 x2  6 Ni 2.42
Ni 0.0000 0.5000 0.0000 x3  4 Fe 2.42, 2 Li 2.46, 4 Ni 2.46

Properties
**Energy of formation from the pure elements**: 205 meV per atom
**Density**: 6.0 g/cm3